Entry 1
# MgZnHg

A relaxed MgZnHg crystal (PBE, the Alexandria database).

extended XYZ file:
```
6
Lattice="4.818 0.000 0.000 2.408 4.261 0.000 0.006 2.617 5.951" Properties=species:S:1:pos:R:3 pbc="T T T"
Mg 1.208 1.415 1.927
Mg 6.025 5.463 4.024
Zn 1.207 2.660 4.989
Zn 6.026 4.218 0.962
Hg 3.618 2.810 1.484
Hg 3.615 4.068 4.467
```

Computed properties:
Density of states at the Fermi level   0.25 states/eV/atom
Total magnetization   0.00 μB/cell
Mass density   7892 kg/m³

***

Entry 2
# MgZnHg

A relaxed MgZnHg crystal (PBE, the Alexandria database).

extended XYZ file:
```
3
Lattice="-1.823 1.911 4.253 1.823 -1.911 4.253 1.823 1.911 -4.253" Properties=species:S:1:pos:R:3 pbc="T T T"
Mg 0.000 0.000 0.000
Zn 0.000 0.000 5.677
Hg 0.000 0.000 2.833
```

Computed properties:
Density of states at the Fermi level   0.32 states/eV/atom
Total magnetization   0.00 μB/cell
Mass density   8134 kg/m³

***

Entry 3
# MgZnHg

A relaxed MgZnHg crystal (PBE, the Alexandria database).

extended XYZ file:
```
6
Lattice="2.904 -2.904 0.000 2.904 2.904 0.000 -0.066 0.000 7.236" Properties=species:S:1:pos:R:3 pbc="T T T"
Mg 1.423 0.000 1.190
Mg 4.318 0.000 6.046
Zn 2.871 1.447 3.618
Zn 2.871 -1.447 3.618
Hg 1.412 0.000 5.589
Hg 4.329 0.000 1.647
```

Computed properties:
Density of states at the Fermi level   0.31 states/eV/atom
Total magnetization   0.00 μB/cell
Mass density   7898 kg/m³

***

Most stable to least stable: entry 3, entry 2, entry 1

***

Entry 1
# MgZnHg

A relaxed MgZnHg crystal (PBE, the Alexandria database).

extended XYZ file:
```
18
Lattice="-4.382 6.062 3.426 4.382 -6.062 3.426 4.382 6.062 -3.426" Properties=species:S:1:pos:R:3 pbc="T T T"
Mg 2.191 0.053 0.000
Mg 2.191 -2.437 4.460
Mg 2.191 3.148 1.343
Mg 2.191 8.499 1.033
Mg 2.191 2.914 4.769
Mg 2.191 6.009 3.426
Zn 4.796 4.640 -1.137
Zn 3.967 -1.422 2.289
Zn -0.414 1.422 2.289
Zn 4.796 1.422 2.289
Zn 0.000 6.062 1.213
Zn 0.000 0.000 4.640
Hg 4.427 2.016 -0.353
Hg 4.336 -4.046 3.073
Hg 2.191 5.458 -0.446
Hg 2.191 0.604 2.980
Hg -0.046 4.046 3.073
Hg 4.427 4.046 3.073
```

Computed properties:
Density of states at the Fermi level   0.27 states/eV/atom
Total magnetization   0.00 μB/cell
Mass density   7945 kg/m³

***

Entry 2
# MgZnHg

A relaxed MgZnHg crystal (PBE, the Alexandria database).

extended XYZ file:
```
3
Lattice="-1.658 1.658 5.428 1.658 -1.658 5.428 1.658 1.658 -5.428" Properties=species:S:1:pos:R:3 pbc="T T T"
Mg 0.000 0.000 0.000
Zn 0.000 0.000 7.136
Hg 0.000 0.000 3.490
```

Computed properties:
Density of states at the Fermi level   0.35 states/eV/atom
Total magnetization   0.00 μB/cell
Mass density   8078 kg/m³

***

Most stable to least stable: entry 1, entry 2

***

Entry 1
# MgZnHg

A relaxed MgZnHg crystal (PBE, the Alexandria database).

extended XYZ file:
```
3
Lattice="3.288 0.000 0.000 -1.644 2.848 0.000 0.000 0.000 6.633" Properties=species:S:1:pos:R:3 pbc="T T T"
Mg 0.000 0.000 0.000
Zn 0.000 1.898 2.138
Hg 1.644 0.949 4.329
```

Computed properties:
Density of states at the Fermi level   0.39 states/eV/atom
Total magnetization   0.00 μB/cell
Mass density   7763 kg/m³

***

Entry 2
# MgZnHg

A relaxed MgZnHg crystal (PBE, the Alexandria database).

extended XYZ file:
```
3
Lattice="4.608 0.000 0.000 -2.304 3.991 0.000 0.000 0.000 3.256" Properties=species:S:1:pos:R:3 pbc="T T T"
Mg 0.000 0.000 0.000
Zn 2.304 1.330 1.628
Hg 0.000 2.661 1.628
```

Computed properties:
Density of states at the Fermi level   0.20 states/eV/atom
Total magnetization   0.00 μB/cell
Mass density   8052 kg/m³

***

Most stable to least stable: entry 2, entry 1